Na2FeSO4F3: relaxed, PBE+U.

Output
**Magnetic moment**: 4.92 μB per formula unit
**VASP energy**: -60.7 eV per formula unit

a = 5.7363 Å, b = 7.3584 Å, c = 7.5098 Å
α = 90.00°, β = 110.60°, γ = 90.00°
Space group P2_1/m (No. 11)
Unique sites:
Na: 0.0000 0.0000 0.0000 x2
Na: 0.4416 0.2500 0.3075 x2
Fe: 0.0000 0.0000 0.5000 x2
S: 0.3975 0.2500 0.8328 x2
O: 0.2613 0.2500 0.9684 x2
O: 0.3233 0.0836 0.7066 x4
O: 0.3327 0.7500 0.0690 x2
F: 0.1469 0.7500 0.5314 x2
F: 0.1492 0.0489 0.3151 x4